(1)
VASP calculation (PBE) on a relaxed structure of GaPbW4N2.

Calculated values
Magnetic moment = 0.00 μB per formula unit
VASP energy = -8.98 eV/atom

a = 2.9225 Å, b = 2.9225 Å, c = 15.4261 Å
α = 90.00°, β = 90.00°, γ = 120.00°
Fractional coordinates of all 8 atoms:
Ga1 0.0000 0.0000 0.0000
Pb1 0.3333 0.6667 0.5000
W1 0.0000 0.0000 0.3237
W2 0.0000 0.0000 0.6763
W3 0.3333 0.6667 0.1429
W4 0.3333 0.6667 0.8571
N1 0.6667 0.3333 0.2346
N2 0.6667 0.3333 0.7654

(2)
VASP calculation (PBE) on a relaxed structure of Zr4GaPbN2.

Calculated values
Magnetic moment = 0.01 μB per formula unit
VASP energy = -8.24 eV/atom

a = 3.3033 Å, b = 3.3033 Å, c = 14.5167 Å
α = 90.00°, β = 90.00°, γ = 120.00°
Fractional coordinates of all 8 atoms:
Zr1 0.0000 0.0000 0.1538
Zr2 0.0000 0.0000 0.8462
Zr3 0.6667 0.3333 0.3274
Zr4 0.6667 0.3333 0.6726
Ga1 0.6667 0.3333 0.0000
Pb1 0.0000 0.0000 0.5000
N1 0.3333 0.6667 0.2391
N2 0.3333 0.6667 0.7609

(3)
VASP calculation (PBE) on a relaxed structure of Pm3GaN.

Calculated values
Magnetic moment = 0.01 μB per formula unit
VASP energy = -5.98 eV/atom

a = 4.9141 Å, b = 4.9141 Å, c = 4.9141 Å
α = 90.00°, β = 90.00°, γ = 90.00°
Fractional coordinates of all 5 atoms:
Pm1 0.0000 0.0000 0.5000
Pm2 0.0000 0.5000 0.0000
Pm3 0.5000 0.0000 0.0000
Ga1 0.5000 0.5000 0.5000
N1 0.0000 0.0000 0.0000

(4)
VASP calculation (PBE) on a relaxed structure of Ga2Re4N.

Calculated values
Magnetic moment = 0.02 μB per formula unit
VASP energy = -8.01 eV/atom

a = 4.1108 Å, b = 4.1108 Å, c = 6.0902 Å
α = 90.00°, β = 90.00°, γ = 90.00°
Fractional coordinates of all 7 atoms:
Ga1 0.0000 0.0000 0.0000
Ga2 0.5000 0.5000 0.5000
Re1 0.0000 0.5000 0.2213
Re2 0.0000 0.5000 0.7787
Re3 0.5000 0.0000 0.2213
Re4 0.5000 0.0000 0.7787
N1 0.5000 0.5000 0.0000

(5)
VASP calculation (PBE) on a relaxed structure of GaW4SN2.

Calculated values
Magnetic moment = 0.00 μB per formula unit
VASP energy = -9.29 eV/atom

a = 2.8812 Å, b = 2.8812 Å, c = 14.0632 Å
α = 90.00°, β = 90.00°, γ = 120.00°
Fractional coordinates of all 8 atoms:
Ga1 0.0000 0.0000 0.0000
W1 0.0000 0.0000 0.3645
W2 0.0000 0.0000 0.6355
W3 0.3333 0.6667 0.1580
W4 0.3333 0.6667 0.8420
S1 0.3333 0.6667 0.5000
N1 0.6667 0.3333 0.2582
N2 0.6667 0.3333 0.7418

(6)
VASP calculation (PBE) on a relaxed structure of Ta4GaSbN2.

Calculated values
Magnetic moment = 0.00 μB per formula unit
VASP energy = -9.33 eV/atom

a = 3.2430 Å, b = 3.2430 Å, c = 13.1049 Å
α = 90.00°, β = 90.00°, γ = 120.00°
Fractional coordinates of all 8 atoms:
Ta1 0.0000 0.0000 0.1579
Ta2 0.0000 0.0000 0.8421
Ta3 0.3333 0.6667 0.3290
Ta4 0.3333 0.6667 0.6710
Ga1 0.3333 0.6667 0.0000
Sb1 0.0000 0.0000 0.5000
N1 0.6667 0.3333 0.2455
N2 0.6667 0.3333 0.7545

(7)
VASP calculation (PBE) on a relaxed structure of GaSbW4N2.

Calculated values
Magnetic moment = 0.00 μB per formula unit
VASP energy = -9.09 eV/atom

a = 2.9675 Å, b = 2.9675 Å, c = 14.3849 Å
α = 90.00°, β = 90.00°, γ = 120.00°
Fractional coordinates of all 8 atoms:
Ga1 0.0000 0.0000 0.0000
Sb1 0.6667 0.3333 0.5000
W1 0.0000 0.0000 0.3418
W2 0.0000 0.0000 0.6582
W3 0.6667 0.3333 0.1514
W4 0.6667 0.3333 0.8486
N1 0.3333 0.6667 0.2460
N2 0.3333 0.6667 0.7540

(8)
VASP calculation (PBE) on a relaxed structure of Sc2Ta4Ga3N3.

Calculated values
Magnetic moment = 0.00 μB per formula unit
VASP energy = -8.72 eV/atom

a = 5.4267 Å, b = 5.4267 Å, c = 13.9431 Å
α = 101.37°, β = 101.37°, γ = 60.27°
Fractional coordinates of all 24 atoms:
Sc1 0.0344 0.8717 0.6004
Sc2 0.1283 0.9656 0.8996
Sc3 0.8717 0.0344 0.1004
Sc4 0.9656 0.1283 0.3996
Ta1 0.1960 0.3600 0.0848
Ta2 0.3039 0.4730 0.4152
Ta3 0.3600 0.1960 0.5848
Ta4 0.4730 0.3039 0.9152
Ta5 0.5270 0.6961 0.0848
Ta6 0.6400 0.8040 0.4152
Ta7 0.6961 0.5270 0.5848
Ta8 0.8040 0.6400 0.9152
Ga1 0.0828 0.3138 0.7507
Ga2 0.3138 0.0828 0.2507
Ga3 0.4782 0.5218 0.7500
Ga4 0.5218 0.4782 0.2500
Ga5 0.6862 0.9172 0.7493
Ga6 0.9172 0.6862 0.2493
N1 0.0000 0.5000 0.5000
N2 0.1605 0.6773 0.0000
N3 0.3227 0.8395 0.5000
N4 0.5000 0.0000 0.0000
N5 0.6773 0.1605 0.5000
N6 0.8395 0.3227 0.0000

(9)
VASP calculation (PBE) on a relaxed structure of Sc4Ta2Ga3N3.

Calculated values
Magnetic moment = 0.01 μB per formula unit
VASP energy = -8.04 eV/atom

a = 5.5417 Å, b = 5.5417 Å, c = 13.9477 Å
α = 101.44°, β = 101.44°, γ = 60.18°
Fractional coordinates of all 24 atoms:
Sc1 0.0363 0.1917 0.0925
Sc2 0.1297 0.3036 0.4075
Sc3 0.1917 0.0363 0.5925
Sc4 0.3036 0.1297 0.9075
Sc5 0.6964 0.8703 0.0925
Sc6 0.8083 0.9637 0.4075
Sc7 0.8703 0.6964 0.5925
Sc8 0.9637 0.8083 0.9075
Ta1 0.3561 0.5263 0.0790
Ta2 0.4737 0.6439 0.4210
Ta3 0.5263 0.3561 0.5790
Ta4 0.6439 0.4737 0.9210
Ga1 0.1239 0.8761 0.2500
Ga2 0.2914 0.4172 0.7510
Ga3 0.4172 0.2914 0.2510
Ga4 0.5828 0.7086 0.7490
Ga5 0.7086 0.5828 0.2490
Ga6 0.8761 0.1239 0.7500
N1 0.0000 0.5000 0.0000
N2 0.1662 0.6672 0.5002
N3 0.3328 0.8338 0.9998
N4 0.5000 0.0000 0.5000
N5 0.6672 0.1662 0.0002
N6 0.8338 0.3328 0.4998

(10)
VASP calculation (PBE) on a relaxed structure of Sc2Ga3W4N3.

Calculated values
Magnetic moment = 0.01 μB per formula unit
VASP energy = -8.67 eV/atom

a = 5.4367 Å, b = 5.4367 Å, c = 13.3816 Å
α = 101.70°, β = 101.70°, γ = 60.39°
Fractional coordinates of all 24 atoms:
Sc1 0.0357 0.8675 0.6073
Sc2 0.1325 0.9643 0.8927
Sc3 0.8675 0.0357 0.1073
Sc4 0.9643 0.1325 0.3927
Ga1 0.0840 0.3581 0.7490
Ga2 0.3581 0.0840 0.2490
Ga3 0.4697 0.5303 0.2500
Ga4 0.5303 0.4697 0.7500
Ga5 0.6419 0.9160 0.7510
Ga6 0.9160 0.6419 0.2510
W1 0.1950 0.3722 0.0787
W2 0.3172 0.4584 0.4214
W3 0.3722 0.1950 0.5787
W4 0.4584 0.3172 0.9214
W5 0.5416 0.6828 0.0786
W6 0.6278 0.8050 0.4213
W7 0.6828 0.5416 0.5786
W8 0.8050 0.6278 0.9213
N1 0.0000 0.5000 0.5000
N2 0.1509 0.7000 0.0002
N3 0.3000 0.8491 0.4998
N4 0.5000 0.0000 0.0000
N5 0.7000 0.1509 0.5002
N6 0.8491 0.3000 0.9998

(11)
VASP calculation (PBE) on a relaxed structure of Sc4Ga3W2N3.

Calculated values
Magnetic moment = 0.00 μB per formula unit
VASP energy = -8.04 eV/atom

a = 5.4668 Å, b = 5.4668 Å, c = 13.7423 Å
α = 101.30°, β = 101.30°, γ = 60.35°
Fractional coordinates of all 24 atoms:
Sc1 0.0329 0.1960 0.0952
Sc2 0.1313 0.3040 0.4048
Sc3 0.1960 0.0329 0.5952
Sc4 0.3040 0.1313 0.9048
Sc5 0.6960 0.8687 0.0952
Sc6 0.8040 0.9671 0.4048
Sc7 0.8687 0.6960 0.5952
Sc8 0.9671 0.8040 0.9048
Ga1 0.1284 0.8716 0.2500
Ga2 0.2993 0.4151 0.7506
Ga3 0.4151 0.2993 0.2506
Ga4 0.5849 0.7007 0.7494
Ga5 0.7007 0.5849 0.2494
Ga6 0.8716 0.1284 0.7500
W1 0.3538 0.5261 0.0785
W2 0.4739 0.6462 0.4215
W3 0.5261 0.3538 0.5785
W4 0.6462 0.4739 0.9215
N1 0.0000 0.5000 0.0000
N2 0.1639 0.6683 0.5002
N3 0.3317 0.8361 0.9998
N4 0.5000 0.0000 0.5000
N5 0.6683 0.1639 0.0002
N6 0.8361 0.3317 0.4998

(12)
VASP calculation (PBE) on a relaxed structure of Sc4ZnGaN2.

Calculated values
Magnetic moment = 0.00 μB per formula unit
VASP energy = -6.90 eV/atom

a = 3.2077 Å, b = 3.2077 Å, c = 14.1513 Å
α = 90.00°, β = 90.00°, γ = 120.00°
Fractional coordinates of all 8 atoms:
Sc1 0.0000 0.0000 0.1621
Sc2 0.0000 0.0000 0.8379
Sc3 0.6667 0.3333 0.3369
Sc4 0.6667 0.3333 0.6631
Zn1 0.6667 0.3333 0.0000
Ga1 0.0000 0.0000 0.5000
N1 0.3333 0.6667 0.2510
N2 0.3333 0.6667 0.7490

(13)
VASP calculation (PBE) on a relaxed structure of Zr2Sc4Ga3N3.

Calculated values
Magnetic moment = 0.00 μB per formula unit
VASP energy = -7.57 eV/atom

a = 5.6139 Å, b = 5.6139 Å, c = 14.4152 Å
α = 101.26°, β = 101.26°, γ = 60.04°
Fractional coordinates of all 24 atoms:
Zr1 0.0301 0.8627 0.5895
Zr2 0.1373 0.9699 0.9105
Zr3 0.8627 0.0301 0.0895
Zr4 0.9699 0.1373 0.4105
Sc1 0.1956 0.3634 0.0869
Sc2 0.3053 0.4701 0.4131
Sc3 0.3634 0.1956 0.5869
Sc4 0.4701 0.3053 0.9131
Sc5 0.5299 0.6947 0.0869
Sc6 0.6366 0.8044 0.4131
Sc7 0.6947 0.5299 0.5869
Sc8 0.8044 0.6366 0.9131
Ga1 0.0820 0.2541 0.7496
Ga2 0.2541 0.0820 0.2496
Ga3 0.4203 0.5797 0.7500
Ga4 0.5797 0.4203 0.2500
Ga5 0.7459 0.9180 0.7504
Ga6 0.9180 0.7459 0.2504
N1 0.0000 0.5000 0.5000
N2 0.1670 0.6659 0.0000
N3 0.3341 0.8330 0.5000
N4 0.5000 0.0000 0.0000
N5 0.6659 0.1670 0.5000
N6 0.8330 0.3341 0.0000

(14)
VASP calculation (PBE) on a relaxed structure of Zr4Sc2Ga3N3.

Calculated values
Magnetic moment = 0.00 μB per formula unit
VASP energy = -7.93 eV/atom

a = 5.6617 Å, b = 5.6617 Å, c = 14.3251 Å
α = 101.35°, β = 101.35°, γ = 60.07°
Fractional coordinates of all 24 atoms:
Zr1 0.0289 0.1966 0.0887
Zr2 0.1386 0.3036 0.4113
Zr3 0.1966 0.0289 0.5887
Zr4 0.3036 0.1386 0.9113
Zr5 0.6964 0.8614 0.0887
Zr6 0.8034 0.9711 0.4113
Zr7 0.8614 0.6964 0.5887
Zr8 0.9711 0.8034 0.9113
Sc1 0.3642 0.5290 0.0878
Sc2 0.4710 0.6358 0.4122
Sc3 0.5290 0.3642 0.5878
Sc4 0.6358 0.4710 0.9122
Ga1 0.0835 0.9165 0.2500
Ga2 0.2446 0.4197 0.7497
Ga3 0.4197 0.2446 0.2497
Ga4 0.5803 0.7554 0.7503
Ga5 0.7554 0.5803 0.2503
Ga6 0.9165 0.0835 0.7500
N1 0.0000 0.5000 0.0000
N2 0.1705 0.6645 0.5000
N3 0.3355 0.8295 0.0000
N4 0.5000 0.0000 0.5000
N5 0.6645 0.1705 0.0000
N6 0.8295 0.3355 0.5000

(15)
VASP calculation (PBE) on a relaxed structure of Ta4GaSiN2.

Calculated values
Magnetic moment = 0.00 μB per formula unit
VASP energy = -9.65 eV/atom

a = 3.0084 Å, b = 3.0084 Å, c = 13.8894 Å
α = 90.00°, β = 90.00°, γ = 120.00°
Fractional coordinates of all 8 atoms:
Ta1 0.0000 0.0000 0.1463
Ta2 0.0000 0.0000 0.8537
Ta3 0.6667 0.3333 0.3414
Ta4 0.6667 0.3333 0.6586
Ga1 0.0000 0.0000 0.5000
Si1 0.6667 0.3333 0.0000
N1 0.3333 0.6667 0.2436
N2 0.3333 0.6667 0.7564

(16)
VASP calculation (PBE) on a relaxed structure of Ta4GaSnN2.

Calculated values
Magnetic moment = 0.00 μB per formula unit
VASP energy = -9.34 eV/atom

a = 3.0449 Å, b = 3.0449 Å, c = 14.4922 Å
α = 90.00°, β = 90.00°, γ = 120.00°
Fractional coordinates of all 8 atoms:
Ta1 0.0000 0.0000 0.1504
Ta2 0.0000 0.0000 0.8496
Ta3 0.6667 0.3333 0.3346
Ta4 0.6667 0.3333 0.6654
Ga1 0.6667 0.3333 0.0000
Sn1 0.0000 0.0000 0.5000
N1 0.3333 0.6667 0.2422
N2 0.3333 0.6667 0.7578

(17)
VASP calculation (PBE) on a relaxed structure of Zr4GaSnN2.

Calculated values
Magnetic moment = 0.01 μB per formula unit
VASP energy = -8.35 eV/atom

a = 3.2865 Å, b = 3.2865 Å, c = 14.3956 Å
α = 90.00°, β = 90.00°, γ = 120.00°
Fractional coordinates of all 8 atoms:
Zr1 0.0000 0.0000 0.1559
Zr2 0.0000 0.0000 0.8441
Zr3 0.3333 0.6667 0.3327
Zr4 0.3333 0.6667 0.6673
Ga1 0.3333 0.6667 0.0000
Sn1 0.0000 0.0000 0.5000
N1 0.6667 0.3333 0.2429
N2 0.6667 0.3333 0.7571

(18)
VASP calculation (PBE) on a relaxed structure of Ta4GaN3.

Calculated values
Magnetic moment = 0.00 μB per formula unit
VASP energy = -10.14 eV/atom

a = 3.0663 Å, b = 3.0663 Å, c = 24.2953 Å
α = 90.00°, β = 90.00°, γ = 120.00°
Fractional coordinates of all 16 atoms:
Ta1 0.0000 0.0000 0.1605
Ta2 0.0000 0.0000 0.3395
Ta3 0.0000 0.0000 0.6605
Ta4 0.0000 0.0000 0.8395
Ta5 0.3333 0.6667 0.0516
Ta6 0.3333 0.6667 0.4484
Ta7 0.6667 0.3333 0.5516
Ta8 0.6667 0.3333 0.9484
Ga1 0.3333 0.6667 0.2500
Ga2 0.6667 0.3333 0.7500
N1 0.0000 0.0000 0.0000
N2 0.0000 0.0000 0.5000
N3 0.3333 0.6667 0.6064
N4 0.3333 0.6667 0.8936
N5 0.6667 0.3333 0.1064
N6 0.6667 0.3333 0.3936

(19)
VASP calculation (PBE) on a relaxed structure of Ta3GaN2.

Calculated values
Magnetic moment = 0.00 μB per formula unit
VASP energy = -9.87 eV/atom

a = 3.0948 Å, b = 3.0948 Å, c = 18.7601 Å
α = 90.00°, β = 90.00°, γ = 120.00°
Fractional coordinates of all 12 atoms:
Ta1 0.0000 0.0000 0.0000
Ta2 0.0000 0.0000 0.5000
Ta3 0.3333 0.6667 0.1341
Ta4 0.3333 0.6667 0.3659
Ta5 0.6667 0.3333 0.6341
Ta6 0.6667 0.3333 0.8659
Ga1 0.0000 0.0000 0.2500
Ga2 0.0000 0.0000 0.7500
N1 0.3333 0.6667 0.5672
N2 0.3333 0.6667 0.9328
N3 0.6667 0.3333 0.0672
N4 0.6667 0.3333 0.4328